1.
## Ba3Cd3Pt2 (PBE)

Data for crystalline Ba3Cd3Pt2 at its relaxed geometry.

Computed properties:
The formation enthalpy at 0 K is -0.54 eV/atom. The total moment comes out at 0.0 Bohr magnetons per cell.

abc: 4.591 12.041 17.898
angles: 90.00 90.00 90.00
Space group Cmcm (No. 63)
Symmetry-distinct sites (fractional):
Ba1 0.000 0.059 0.105 x8
Ba2 0.000 0.343 0.250 x4
Cd1 0.000 0.336 0.035 x8
Cd2 0.000 0.362 0.750 x4
Pt1 0.000 0.236 0.616 x8

***

2.
## TbEuIrAu (PBE)

Data for crystalline TbEuIrAu at its relaxed geometry.

Computed properties:
The formation enthalpy at 0 K is -0.65 eV/atom. The total moment comes out at 27.9 Bohr magnetons per cell.

abc: 7.120 7.120 7.120
angles: 90.00 90.00 90.00
Space group F-43m (No. 216)
Symmetry-distinct sites (fractional):
Tb1 0.000 0.000 0.000 x4
Eu1 0.000 0.000 0.500 x4
Ir1 0.250 0.250 0.750 x4
Au1 0.250 0.250 0.250 x4

***

3.
## YEr6In3 (PBE)

Data for crystalline YEr6In3 at its relaxed geometry.

Computed properties:
The formation enthalpy at 0 K is -0.13 eV/atom. The total moment comes out at 0.0 Bohr magnetons per cell.

abc: 10.454 15.200 7.604
angles: 90.00 90.00 90.00
Space group Cmc2_1 (No. 36)
Symmetry-distinct sites (fractional):
Y1 0.000 0.209 0.000 x4
Er1 0.000 0.046 0.710 x4
Er2 0.000 0.300 0.547 x4
Er3 0.231 0.467 0.522 x8
Er4 0.239 0.313 0.212 x8
In1 0.000 0.444 0.236 x4
In2 0.147 0.134 0.348 x8

***

4.
## NbCdAu3 (PBE)

Data for crystalline NbCdAu3 at its relaxed geometry.

Computed properties:
The formation enthalpy at 0 K is 0.82 eV/atom. The total moment comes out at 0.0 Bohr magnetons per cell.

abc: 5.161 5.161 5.161
angles: 90.00 90.00 90.00
Space group Pm-3m (No. 221)
Symmetry-distinct sites (fractional):
Nb1 0.000 0.000 0.000 x1
Cd1 0.500 0.500 0.500 x1
Au1 0.000 0.000 0.500 x3

***

5.
## USnTe2N (PBE)

Data for crystalline USnTe2N at its relaxed geometry.

Computed properties:
Its raw formation energy is -0.76 eV/atom. The total moment comes out at 2.8 Bohr magnetons per cell.

abc: 3.956 3.956 17.433
angles: 90.00 90.00 90.00
Space group P4/nmm (No. 129, origin choice 2)
Symmetry-distinct sites (fractional):
U1 0.250 0.250 0.064 x2
Sn1 0.250 0.250 0.656 x2
Te1 0.250 0.250 0.414 x2
Te2 0.250 0.250 0.836 x2
N1 0.250 0.750 0.000 x2

***

6.
## YScNb2As (PBE)

Data for crystalline YScNb2As at its relaxed geometry.

Computed properties:
The formation enthalpy at 0 K is 1.21 eV/atom. The total moment comes out at 0.0 Bohr magnetons per cell.

abc: 4.629 4.629 5.744
angles: 90.00 90.00 90.00
Space group P4/mmm (No. 123)
Symmetry-distinct sites (fractional):
Y1 0.000 0.000 0.000 x1
Sc1 0.000 0.000 0.500 x1
Nb1 0.000 0.500 0.500 x2
As1 0.500 0.500 0.000 x1

***

7.
## Ba2CdSiPt (PBE)

Data for crystalline Ba2CdSiPt at its relaxed geometry.

Computed properties:
Its raw formation energy is -0.47 eV/atom. The total moment comes out at 0.0 Bohr magnetons per cell.

abc: 6.276 6.276 4.602
angles: 90.00 90.00 90.00
Space group P4/mmm (No. 123)
Symmetry-distinct sites (fractional):
Ba1 0.000 0.500 0.000 x2
Cd1 0.000 0.000 0.500 x1
Si1 0.500 0.500 0.500 x1
Pt1 0.500 0.500 0.000 x1

***

8.
## PIrAu2O (PBE)

Data for crystalline PIrAu2O at its relaxed geometry.

Computed properties:
Its raw formation energy is 0.93 eV/atom. The total moment comes out at 1.7 Bohr magnetons per cell.

abc: 4.713 4.713 4.382
angles: 90.00 90.00 90.00
Space group P4/mmm (No. 123)
Symmetry-distinct sites (fractional):
P1 0.000 0.000 0.000 x1
Ir1 0.000 0.000 0.500 x1
Au1 0.000 0.500 0.000 x2
O1 0.500 0.500 0.500 x1

***

9.
## PrGaAg4 (PBE)

Data for crystalline PrGaAg4 at its relaxed geometry.

Computed properties:
The formation enthalpy at 0 K is -0.17 eV/atom. The total moment comes out at 0.0 Bohr magnetons per cell.

abc: 7.939 7.939 7.939
angles: 90.00 90.00 90.00
Space group F-43m (No. 216)
Symmetry-distinct sites (fractional):
Pr1 0.000 0.000 0.000 x4
Ga1 0.250 0.250 0.750 x4
Ag1 0.125 0.125 0.375 x16

***

10.
## La4TbTl (PBE)

Data for crystalline La4TbTl at its relaxed geometry.

Computed properties:
The formation enthalpy at 0 K is -0.12 eV/atom. The total moment comes out at 0.0 Bohr magnetons per cell.

abc: 6.263 7.085 8.905
angles: 90.00 90.61 90.00
Space group P2_1/m (No. 11)
Symmetry-distinct sites (fractional):
La1 0.000 0.000 0.000 x2
La2 0.343 0.006 0.341 x4
La3 0.476 0.750 0.984 x2
Tb1 0.159 0.250 0.668 x2
Tl1 0.152 0.750 0.653 x2

***

11.
## HoCrFeC2 (PBE)

Data for crystalline HoCrFeC2 at its relaxed geometry.

Computed properties:
The formation enthalpy at 0 K is -0.14 eV/atom. The total moment comes out at 1.0 Bohr magnetons per cell.

abc: 3.516 3.516 9.563
angles: 90.00 90.00 90.00
Space group I-4m2 (No. 119)
Symmetry-distinct sites (fractional):
Ho1 0.000 0.000 0.000 x2
Cr1 0.000 0.500 0.250 x2
Fe1 0.000 0.500 0.750 x2
C1 0.000 0.000 0.340 x4

***

12.
## TbPrY2As4 (PBE)

Data for crystalline TbPrY2As4 at its relaxed geometry.

Computed properties:
The formation enthalpy at 0 K is -1.53 eV/atom. The total moment comes out at 0.0 Bohr magnetons per cell.

abc: 7.229 4.178 7.231
angles: 90.00 109.48 90.00
Space group P2/m (No. 10)
Symmetry-distinct sites (fractional):
Tb1 0.000 0.000 0.000 x1
Pr1 0.000 0.500 0.500 x1
Y1 0.500 0.000 0.500 x1
Y2 0.500 0.500 0.000 x1
As1 0.254 0.500 0.247 x2
As2 0.257 0.000 0.757 x2

***

13.
## Er3TiH (PBE)

Data for crystalline Er3TiH at its relaxed geometry.

Computed properties:
The total energy is -0.184 hartree per atom. The total moment comes out at 1.2 Bohr magnetons per cell.

abc: 4.763 4.763 4.763
angles: 90.00 90.00 90.00
Space group Pm-3m (No. 221)
Symmetry-distinct sites (fractional):
Er1 0.000 0.000 0.500 x3
Ti1 0.500 0.500 0.500 x1
H1 0.000 0.000 0.000 x1

***

14.
## SmTmMn (PBE)

Data for crystalline SmTmMn at its relaxed geometry.

Computed properties:
The formation enthalpy at 0 K is 0.17 eV/atom. The total moment comes out at 5.5 Bohr magnetons per cell.

abc: 3.494 3.494 12.716
angles: 90.00 90.00 90.00
Space group I4mm (No. 107)
Symmetry-distinct sites (fractional):
Sm1 0.000 0.000 0.000 x2
Tm1 0.000 0.000 0.274 x2
Mn1 0.000 0.000 0.643 x2

***

15.
## BaLiGa4 (PBE)

Data for crystalline BaLiGa4 at its relaxed geometry.

Computed properties:
The formation enthalpy at 0 K is -0.26 eV/atom. The total moment comes out at 0.0 Bohr magnetons per cell.

abc: 8.199 8.199 8.199
angles: 90.00 90.00 90.00
Space group F-43m (No. 216)
Symmetry-distinct sites (fractional):
Ba1 0.000 0.000 0.000 x4
Li1 0.250 0.250 0.250 x4
Ga1 0.124 0.124 0.624 x16

***

16.
## Ba2LiPAu (PBE)

Data for crystalline Ba2LiPAu at its relaxed geometry.

Computed properties:
The formation enthalpy at 0 K is -0.61 eV/atom. The total moment comes out at 0.0 Bohr magnetons per cell.

abc: 6.231 6.231 4.598
angles: 90.00 90.00 90.00
Space group P4/mmm (No. 123)
Symmetry-distinct sites (fractional):
Ba1 0.000 0.500 0.000 x2
Li1 0.000 0.000 0.500 x1
P1 0.000 0.000 0.000 x1
Au1 0.500 0.500 0.500 x1

***

17.
## Ce6Bi5H (PBE)

Data for crystalline Ce6Bi5H at its relaxed geometry.

Computed properties:
The total energy is -0.200 hartree per atom. The total moment comes out at 13.8 Bohr magnetons per cell.

abc: 7.819 13.497 7.840
angles: 90.00 109.74 90.00
Space group C2/m (No. 12)
Symmetry-distinct sites (fractional):
Ce1 0.236 0.159 0.237 x8
Ce2 0.237 0.000 0.747 x4
Bi1 0.000 0.176 0.500 x4
Bi2 0.000 0.336 0.000 x4
Bi3 0.000 0.500 0.500 x2
H1 0.000 0.000 0.000 x2

***

18.
## SrCa2Re (PBE)

Data for crystalline SrCa2Re at its relaxed geometry.

Computed properties:
The formation enthalpy at 0 K is 0.73 eV/atom. The total moment comes out at 1.8 Bohr magnetons per cell.

abc: 3.536 3.536 10.327
angles: 90.00 90.00 90.00
Space group P4mm (No. 99)
Symmetry-distinct sites (fractional):
Sr1 0.000 0.000 0.000 x1
Ca1 0.000 0.000 0.635 x1
Ca2 0.500 0.500 0.331 x1
Re1 0.500 0.500 0.807 x1

***

19.
## CaDyRhAu (PBE)

Data for crystalline CaDyRhAu at its relaxed geometry.

Computed properties:
The formation enthalpy at 0 K is -0.73 eV/atom. The total moment comes out at 0.0 Bohr magnetons per cell.

abc: 4.290 3.878 11.094
angles: 90.00 90.00 90.00
Space group Amm2 (No. 38)
Symmetry-distinct sites (fractional):
Ca1 0.000 0.000 0.000 x2
Dy1 0.500 0.000 0.284 x2
Rh1 0.000 0.000 0.735 x2
Au1 0.500 0.000 0.566 x2

***

20.
## Tl2SnBr4Cl2 (PBE)

Data for crystalline Tl2SnBr4Cl2 at its relaxed geometry.

Computed properties:
Its raw formation energy is -0.85 eV/atom. The total moment comes out at 0.0 Bohr magnetons per cell.

abc: 12.845 7.515 7.703
angles: 90.00 126.54 90.00
Space group C2/m (No. 12)
Symmetry-distinct sites (fractional):
Tl1 0.249 0.000 0.240 x4
Sn1 0.000 0.000 0.500 x2
Br1 0.033 0.248 0.292 x8
Cl1 0.236 0.000 0.795 x4